<one>
Dy6MgIn, optimized geometry, DFT PBE; total magnetic moment = 0.000 μB per atom
1.0
4.879 0.000 0.000
0.000 4.879 0.000
0.000 0.000 9.747
Dy Mg In
6 1 1
Cartesian
0.000 0.000 0.000
0.000 0.000 4.874
0.000 2.439 2.414
0.000 2.439 7.334
2.439 0.000 2.414
2.439 0.000 7.334
2.439 2.439 4.874
2.439 2.439 0.000


<two>
Dy6MgIn, optimized geometry, DFT PBE; total magnetic moment = 0.000 μB per atom
1.0
4.399 2.540 3.512
-4.399 2.540 3.512
0.000 -5.079 3.512
Dy Mg In
6 1 1
Cartesian
-2.245 -2.446 4.560
-3.241 0.722 5.976
0.995 -3.167 5.976
-0.995 3.167 4.560
3.241 -0.722 4.560
2.245 2.446 5.976
0.000 0.000 5.268
0.000 0.000 0.000


Stability verdict: <one>, ahead by 55 meV/atom


<one>
DyMgInPb, optimized geometry, DFT PBE; total magnetic moment = 0.000 μB per atom
1.0
0.000 3.755 3.755
3.755 0.000 3.755
3.755 3.755 0.000
Dy Mg In Pb
1 1 1 1
Cartesian
0.000 0.000 0.000
3.755 3.755 3.755
5.633 5.633 5.633
1.878 1.878 1.878


<two>
DyMgInPb, optimized geometry, DFT PBE; total magnetic moment = 0.000 μB per atom
1.0
4.496 0.000 0.000
0.000 4.682 0.000
0.000 0.000 4.847
Dy Mg In Pb
1 1 1 1
Cartesian
0.000 0.000 0.000
0.000 2.341 2.424
2.248 0.000 2.424
2.248 2.341 0.000


Stability verdict: <two>, ahead by 155 meV/atom